Record 1
Below is a relaxed structure of TcTeI2O, with properties calculated at the GGA-PBE level.

Output
E above lowest polymorph: 1.184 eV/atom
Formation energy (no corrections): 109 kJ/mol of atoms
Final energy: -3.18 eV/atom
Volume: 22.70 Å³/atom

abc: 5.0411 5.0411 4.4671
angles: 90.00 90.00 90.00
Space group P4/mmm (No. 123)
Inequivalent atoms, fractional coordinates:
Tc  0.0000  0.0000  0.0000 x1
Te  0.5000  0.5000  0.0000 x1
I  0.0000  0.5000  0.5000 x2
O  0.5000  0.5000  0.5000 x1



Record 2
Below is a relaxed structure of TcTe2IO, with properties calculated at the GGA-PBE level.

Output
E above lowest polymorph: 0.215 eV/atom
Formation energy (no corrections): 89 kJ/mol of atoms
Final energy: -3.71 eV/atom
Volume: 28.79 Å³/atom

abc: 5.0969 5.0969 5.5414
angles: 90.00 90.00 90.00
Space group P4/mmm (No. 123)
Inequivalent atoms, fractional coordinates:
Tc  0.0000  0.0000  0.0000 x1
Te  0.0000  0.5000  0.0000 x2
I  0.0000  0.0000  0.5000 x1
O  0.5000  0.5000  0.5000 x1



Record 3
Below is a relaxed structure of TcTeI2O, with properties calculated at the GGA-PBE level.

Output
E above lowest polymorph: 1.012 eV/atom
Formation energy (no corrections): 93 kJ/mol of atoms
Final energy: -3.35 eV/atom
Volume: 29.83 Å³/atom

abc: 5.4209 5.4209 5.0759
angles: 90.00 90.00 90.00
Space group P4/mmm (No. 123)
Inequivalent atoms, fractional coordinates:
Tc  0.0000  0.0000  0.0000 x1
Te  0.0000  0.0000  0.5000 x1
I  0.0000  0.5000  0.0000 x2
O  0.5000  0.5000  0.5000 x1



Record 4
Below is a relaxed structure of TcTe2IO, with properties calculated at the GGA-PBE level.

Output
E above lowest polymorph: 0.000 eV/atom
Formation energy (no corrections): 68 kJ/mol of atoms
Final energy: -3.92 eV/atom
Volume: 26.23 Å³/atom

abc: 4.4727 4.4727 6.5572
angles: 90.00 90.00 90.00
Space group P4/mmm (No. 123)
Inequivalent atoms, fractional coordinates:
Tc  0.0000  0.0000  0.0000 x1
Te  0.0000  0.5000  0.5000 x2
I  0.5000  0.5000  0.0000 x1
O  0.5000  0.5000  0.5000 x1



Question: What is the formula in the first record?
Answer: TcTeI2O